Record 1
Below is a relaxed structure of Nd5Sn5Hg2, with properties calculated at the PBE-GGA level.

a b c (Å): 4.5572 7.5417 13.0798
angles (deg): 122.33 90.00 107.59
Closest atoms and distances in Å follow each position.
Fractional positions:
Sn1 0.1300 0.2600 0.4506  1 Hg 2.86, 1 Nd 3.11
Hg1 0.9173 0.8347 0.2176  3 Sn 2.86-3.07
Nd1 0.5000 0.0000 0.5000  6 Sn 3.23-3.33
Sn2 0.8700 0.7400 0.5494  1 Hg 2.86, 1 Nd 3.11
Nd2 0.3499 0.6997 0.0108  5 Sn 3.20-3.39, 3 Hg 3.24-3.29, 2 Nd 3.55
Hg2 0.0827 0.1653 0.7824  3 Sn 2.86-3.07
Sn3 0.2716 0.5433 0.2120  2 Hg 3.07, 1 Sn 3.29, 6 Nd 3.32-3.39
Nd3 0.6486 0.2971 0.2868  5 Sn 3.11-3.35
Sn4 0.0000 0.0000 0.0000  4 Nd 3.20, 2 Sn 3.29
Sn5 0.7284 0.4567 0.7880  2 Hg 3.07, 1 Sn 3.29, 6 Nd 3.32-3.39
Nd4 0.3514 0.7029 0.7132  5 Sn 3.11-3.35
Nd5 0.6501 0.3003 0.9892  5 Sn 3.20-3.39, 3 Hg 3.24-3.29, 2 Nd 3.55

Properties
Symmetry: C2/m, No. 12

Record 2
Below is a relaxed structure of NdSnHg, with properties calculated at the PBE-GGA level.

a b c (Å): 7.1489 7.1489 7.1489
angles (deg): 31.48 31.48 31.48
Closest atoms and distances in Å follow each position.
Fractional positions:
Nd1 0.8866 0.8866 0.8866  3 Hg 3.23, 3 Sn 3.29
Hg1 0.1054 0.1054 0.1054  3 Sn 3.04, 3 Nd 3.23
Sn1 0.3382 0.3382 0.3382  3 Hg 3.04, 3 Nd 3.29

Properties
Symmetry: R3m, No. 160

| no. | calculated total energy (eV/f.u.) |
| --- | --- |
| 1 | -50.62 |
| 2 | -9.82 |